DFT (PBE-GGA) results for FeCuGePd after structural relaxation. Values from VASP.

```
&SYSTEM
  ibrav = 0, nat = 4, ntyp = 4
/
ATOMIC_SPECIES
Fe 55.84 Fe.upf
Cu 63.55 Cu.upf
Ge 72.64 Ge.upf
Pd 106.42 Pd.upf
CELL_PARAMETERS angstrom
0.000 3.000 3.000
3.000 0.000 3.000
3.000 3.000 0.000
ATOMIC_POSITIONS angstrom
Fe 0.000 0.000 0.000
Cu 1.500 1.500 1.500
Ge 4.500 4.500 4.500
Pd 3.000 3.000 3.000
```

Calculated values
Formation energy   -0.068 eV/atom
Final energy   -5.66 eV per atom

DFT (PBE-GGA) results for Pm2FeCu3Ge4 after structural relaxation. Values from VASP.

```
&SYSTEM
  ibrav = 0, nat = 10, ntyp = 4
/
ATOMIC_SPECIES
Pm 145.00 Pm.upf
Fe 55.84 Fe.upf
Cu 63.55 Cu.upf
Ge 72.64 Ge.upf
CELL_PARAMETERS angstrom
4.156 0.000 0.000
0.000 4.156 0.000
0.000 0.000 10.198
ATOMIC_POSITIONS angstrom
Pm 0.000 2.078 2.529
Pm 2.078 0.000 7.669
Fe 2.078 2.078 0.000
Cu 0.000 0.000 0.000
Cu 0.000 2.078 6.463
Cu 2.078 0.000 3.734
Ge 0.000 0.000 5.099
Ge 0.000 2.078 8.884
Ge 2.078 0.000 1.314
Ge 2.078 2.078 5.099
```

Calculated values
Formation energy   -0.467 eV/atom
Final energy   -5.34 eV per atom

DFT (PBE-GGA) results for FeCu2GePt after structural relaxation. Values from VASP.

```
&SYSTEM
  ibrav = 0, nat = 5, ntyp = 4
/
ATOMIC_SPECIES
Fe 55.84 Fe.upf
Cu 63.55 Cu.upf
Ge 72.64 Ge.upf
Pt 195.08 Pt.upf
CELL_PARAMETERS angstrom
4.374 0.000 0.000
0.000 4.374 0.000
0.000 0.000 4.397
ATOMIC_POSITIONS angstrom
Fe 0.000 0.000 0.000
Cu 0.000 2.187 0.000
Cu 2.187 0.000 0.000
Ge 0.000 0.000 2.198
Pt 2.187 2.187 2.198
```

Calculated values
Formation energy   0.849 eV/atom
Final energy   -4.61 eV per atom

DFT (PBE-GGA) results for FeCuGePt after structural relaxation. Values from VASP.

```
&SYSTEM
  ibrav = 0, nat = 4, ntyp = 4
/
ATOMIC_SPECIES
Fe 55.84 Fe.upf
Cu 63.55 Cu.upf
Ge 72.64 Ge.upf
Pt 195.08 Pt.upf
CELL_PARAMETERS angstrom
0.000 3.008 3.008
3.008 0.000 3.008
3.008 3.008 0.000
ATOMIC_POSITIONS angstrom
Fe 0.000 0.000 0.000
Cu 4.513 4.513 4.513
Ge 1.504 1.504 1.504
Pt 3.008 3.008 3.008
```

Calculated values
Formation energy   -0.077 eV/atom
Final energy   -5.88 eV per atom

DFT (PBE-GGA) results for PuFeCuGe after structural relaxation. Values from VASP.

```
&SYSTEM
  ibrav = 0, nat = 4, ntyp = 4
/
ATOMIC_SPECIES
Pu 244.00 Pu.upf
Fe 55.84 Fe.upf
Cu 63.55 Cu.upf
Ge 72.64 Ge.upf
CELL_PARAMETERS angstrom
0.000 3.194 3.194
3.194 0.000 3.194
3.194 3.194 0.000
ATOMIC_POSITIONS angstrom
Pu 0.000 0.000 0.000
Fe 1.597 1.597 1.597
Cu 4.791 4.791 4.791
Ge 3.194 3.194 3.194
```

Calculated values
Formation energy   0.002 eV/atom
Final energy   -7.87 eV per atom

DFT (PBE-GGA) results for FeCuRe2Ge after structural relaxation. Values from VASP.

```
&SYSTEM
  ibrav = 0, nat = 5, ntyp = 4
/
ATOMIC_SPECIES
Fe 55.84 Fe.upf
Cu 63.55 Cu.upf
Re 186.21 Re.upf
Ge 72.64 Ge.upf
CELL_PARAMETERS angstrom
4.554 0.000 0.000
0.000 4.554 0.000
0.000 0.000 4.277
ATOMIC_POSITIONS angstrom
Fe 0.000 0.000 0.000
Cu 2.277 2.277 0.000
Re 0.000 2.277 2.138
Re 2.277 0.000 2.138
Ge 0.000 0.000 2.138
```

Calculated values
Formation energy   1.713 eV/atom
Final energy   -6.70 eV per atom

DFT (PBE-GGA) results for FeCuGeRh after structural relaxation. Values from VASP.

```
&SYSTEM
  ibrav = 0, nat = 4, ntyp = 4
/
ATOMIC_SPECIES
Fe 55.84 Fe.upf
Cu 63.55 Cu.upf
Ge 72.64 Ge.upf
Rh 102.91 Rh.upf
CELL_PARAMETERS angstrom
0.000 2.951 2.951
2.951 0.000 2.951
2.951 2.951 0.000
ATOMIC_POSITIONS angstrom
Fe 0.000 0.000 0.000
Cu 4.426 4.426 4.426
Ge 1.475 1.475 1.475
Rh 2.951 2.951 2.951
```

Calculated values
Formation energy   -0.103 eV/atom
Final energy   -6.23 eV per atom

DFT (PBE-GGA) results for FeCu2GeS4 after structural relaxation. Values from VASP.

```
&SYSTEM
  ibrav = 0, nat = 8, ntyp = 4
/
ATOMIC_SPECIES
Fe 55.84 Fe.upf
Cu 63.55 Cu.upf
Ge 72.64 Ge.upf
S 32.06 S.upf
CELL_PARAMETERS angstrom
-2.656 2.656 5.328
2.656 -2.656 5.328
2.656 2.656 -5.328
ATOMIC_POSITIONS angstrom
Fe 0.000 0.000 0.000
Cu 2.656 0.000 2.664
Cu 0.000 0.000 5.328
Ge 0.000 2.656 2.664
S 1.324 1.318 -1.320
S 1.337 -1.332 6.648
S 1.332 1.337 4.009
S 1.318 3.987 1.320
```

Calculated values
E_form (uncorrected)   -331 meV per atom
Final energy   -5.05 eV per atom

DFT (PBE-GGA) results for FeCu2GeS4 after structural relaxation. Values from VASP.

```
&SYSTEM
  ibrav = 0, nat = 8, ntyp = 4
/
ATOMIC_SPECIES
Fe 55.84 Fe.upf
Cu 63.55 Cu.upf
Ge 72.64 Ge.upf
S 32.06 S.upf
CELL_PARAMETERS angstrom
-2.664 2.664 5.279
2.664 -2.664 5.279
2.664 2.664 -5.279
ATOMIC_POSITIONS angstrom
Fe 0.000 0.000 0.000
Cu 2.664 0.000 2.640
Cu 0.000 2.664 2.640
Ge 0.000 0.000 5.279
S 1.328 1.328 -1.327
S 1.336 -1.336 6.606
S 1.336 1.336 3.952
S -1.336 1.336 6.606
```

Calculated values
E_form (uncorrected)   -331 meV per atom
Final energy   -5.05 eV per atom

DFT (PBE-GGA) results for FeCuGe2Se6 after structural relaxation. Values from VASP.

```
&SYSTEM
  ibrav = 0, nat = 20, ntyp = 4
/
ATOMIC_SPECIES
Fe 55.84 Fe.upf
Cu 63.55 Cu.upf
Ge 72.64 Ge.upf
Se 78.96 Se.upf
CELL_PARAMETERS angstrom
6.215 -5.671 0.000
6.215 5.671 0.000
-1.189 0.000 6.404
ATOMIC_POSITIONS angstrom
Fe 5.323 4.533 4.803
Fe 5.917 -4.533 1.601
Cu 5.917 2.860 1.601
Cu 5.323 -2.860 4.803
Ge 2.991 1.047 4.451
Ge 3.585 -1.047 1.249
Ge 7.655 1.047 5.154
Ge 8.249 -1.047 1.953
Se 0.494 0.857 3.908
Se 3.662 3.080 5.706
Se 1.088 -0.857 0.706
Se 4.262 1.017 2.384
Se 6.984 3.080 3.900
Se 3.667 -1.017 5.586
Se 7.573 1.017 0.818
Se 4.256 -3.080 2.504
Se 6.979 -1.017 4.020
Se 10.152 0.857 5.697
Se 7.579 -3.080 0.698
Se 10.746 -0.857 2.496
```

Calculated values
E_form (uncorrected)   -132 meV per atom
Final energy   -4.40 eV per atom

DFT (PBE-GGA) results for FeCu2GeSe4 after structural relaxation. Values from VASP.

```
&SYSTEM
  ibrav = 0, nat = 8, ntyp = 4
/
ATOMIC_SPECIES
Fe 55.84 Fe.upf
Cu 63.55 Cu.upf
Ge 72.64 Ge.upf
Se 78.96 Se.upf
CELL_PARAMETERS angstrom
-2.821 2.821 5.586
2.821 -2.821 5.586
2.821 2.821 -5.586
ATOMIC_POSITIONS angstrom
Fe 0.000 0.000 0.000
Cu 2.821 0.000 2.793
Cu 0.000 2.821 2.793
Ge 0.000 0.000 5.586
Se 1.379 1.379 -1.431
Se 1.442 -1.442 7.017
Se 1.442 1.442 4.155
Se -1.442 1.442 7.017
```

Calculated values
E_form (uncorrected)   -225 meV per atom
Final energy   -4.63 eV per atom

DFT (PBE-GGA) results for ThFeCuGe2 after structural relaxation. Values from VASP.

```
&SYSTEM
  ibrav = 0, nat = 5, ntyp = 4
/
ATOMIC_SPECIES
Th 232.04 Th.upf
Fe 55.84 Fe.upf
Cu 63.55 Cu.upf
Ge 72.64 Ge.upf
CELL_PARAMETERS angstrom
-2.074 2.074 5.134
2.074 -2.074 5.134
2.074 2.074 -5.134
ATOMIC_POSITIONS angstrom
Th 0.000 0.000 0.000
Fe 0.000 2.074 2.567
Cu 2.074 0.000 2.567
Ge 0.000 0.000 3.832
Ge 0.000 0.000 6.437
```

Calculated values
Formation energy   -0.451 eV/atom
Final energy   -6.29 eV per atom